Here is a geometry-optimized Cs3CoO4 structure from Alexandria via LeMat-Bulk. Energies are from GGA+U.

Unit cell a=6.5248 b=6.5248 c=6.5248 alpha=120.85 beta=90.35 gamma=118.76
Element x y z (fractional)
Cs 0.0000 0.0000 0.0000
Cs 0.2645 0.5027 0.7618
Cs 0.7410 0.5027 0.2382
Co 0.4593 0.9593 0.5000
O 0.3257 0.0589 0.7332
O 0.3257 0.5925 0.2668
O 0.4123 0.0806 0.3318
O 0.7488 0.0806 0.6682

The value obtained for the magnetization is 4.00 μB/f.u. The calculation puts the total energy at -4.57 eV/atom.